Material: Y2MgCu
Method: DFT, PBE
State: optimized geometry

For the calculated formation energy, the calculation gives 0.072 eV/atom. The total magnetization is 0.0005 μB per atom. The calculation puts the total DFT energy (no corrections) at -4.583 eV per atom.

It has space group P4/nmm (No. 129, origin choice 2), with a = 4.4401 Å, b = 4.4401 Å, c = 10.7142 Å, α = 90.00°, β = 90.00° and γ = 90.00°. The asymmetric unit holds Y at (0.2500, 0.2500, 0.0817), Y at (0.2500, 0.7500, 0.5000), Mg at (0.2500, 0.2500, 0.7527) and Cu at (0.2500, 0.2500, 0.3356).